Here is a geometry-optimized LaPm3Rh8 structure from Alexandria via LeMat-Bulk. Energies are from PBE.

Cell lengths 5.4100, 5.4100, 26.5341 Å; angles 90.00, 90.00, 120.00 degrees
With the nearest neighbours (Å) after each atom.
Space group R3m (No. 160, hexagonal axes)
Inequivalent atoms, fractional coordinates:
La 0.0000 0.0000 0.0000 [3 per cell]  12 Rh 3.17-3.19, 4 Pm 3.31-3.32
Pm 0.0000 0.0000 0.1252 [3 per cell]  12 Rh 3.16-3.17, 3 Pm 3.31, 1 La 3.32
Pm 0.0000 0.0000 0.4998 [3 per cell]  12 Rh 3.16-3.17, 4 Pm 3.31-3.32
Pm 0.0000 0.0000 0.6249 [3 per cell]  12 Rh 3.17-3.19, 3 La 3.31, 1 Pm 3.32
Rh 0.0000 0.0000 0.3124 [3 per cell]  6 Rh 2.71-2.72
Rh 0.0000 0.0000 0.8125 [3 per cell]  6 Rh 2.70
Rh 0.9999 0.5000 0.0631 [9 per cell]  6 Rh 2.70-2.72
Rh 0.9995 0.4998 0.5620 [9 per cell]  6 Rh 2.70-2.71

Results
The energy relative to the elements is -0.683 eV per atom. The calculation puts the density of states at the Fermi level at 6.47 states/eV/f.u. The value obtained for the total energy is -258.55 eV/cell.